# GdPuN

An optimized crystal structure of GdPuN (GGA-PBE, the Alexandria database).

Values from the calculation:
E above lowest polymorph	0.198	eV/atom
energy relative to the elements, uncorrected	-1.85	eV per formula unit

Cell: 3.3120 3.3120 6.8644 Å, 103.96 103.96 90.00°
Fractional positions:
Gd  0.1955  0.1955  0.3911
Pu  0.9121  0.9121  0.8242
N  0.7423  0.7423  0.4847

=====

# GdPuN

An optimized crystal structure of GdPuN (GGA-PBE, the Alexandria database).

Values from the calculation:
E above lowest polymorph	0.000	eV/atom
energy relative to the elements, uncorrected	-2.44	eV per formula unit

Cell: 6.1111 3.4773 3.4773 Å, 120.00 90.00 90.00°
Fractional positions:
N  0.3301  0.3333  0.6667
Gd  0.5620  0.6667  0.3333
Pu  0.1079  0.0000  0.0000

=====

# GdPuN

An optimized crystal structure of GdPuN (GGA-PBE, the Alexandria database).

Values from the calculation:
E above lowest polymorph	0.617	eV/atom
energy relative to the elements, uncorrected	-0.59	eV per formula unit

Cell: 4.2690 4.2690 4.2690 Å, 60.00 60.00 60.00°
Fractional positions:
N  0.2500  0.2500  0.2500
Gd  0.5000  0.5000  0.5000
Pu  0.0000  0.0000  0.0000

=====

# GdPuN2

An optimized crystal structure of GdPuN2 (GGA-PBE, the Alexandria database).

Values from the calculation:
energy relative to the elements, uncorrected	-5.63	eV per formula unit

Cell: 3.5058 3.5058 6.0394 Å, 73.13 73.13 60.00°
Fractional positions:
N  0.2545  0.2545  0.2366
N  0.7455  0.7455  0.7634
Gd  0.5000  0.5000  0.5000
Pu  0.0000  0.0000  0.0000

=====

# Gd2ReN

An optimized crystal structure of Gd2ReN (GGA-PBE, the Alexandria database).

Values from the calculation:
energy relative to the elements, uncorrected	0.10	eV per formula unit

Cell: 3.2581 3.2581 8.6219 Å, 79.11 79.11 60.00°
Fractional positions:
Re  0.0000  0.0000  0.0000
Gd  0.1092  0.1092  0.6724
Gd  0.8908  0.8908  0.3276
N  0.5000  0.5000  0.5000

=====

# GdReN2

An optimized crystal structure of GdReN2 (GGA-PBE, the Alexandria database).

Values from the calculation:
energy relative to the elements, uncorrected	0.50	eV per formula unit

Cell: 3.3576 3.3576 6.3796 Å, 74.74 74.74 60.00°
Fractional positions:
Re  0.5000  0.5000  0.5000
Gd  0.0000  0.0000  0.0000
N  0.1226  0.1226  0.6322
N  0.8774  0.8774  0.3678

=====

| no. | total moment (μB/atom) | calculated volume (Å³/cell) |
| --- | --- | --- |
| 1 | 4.58 | 70.8 |
| 2 | 4.43 | 64.0 |
| 3 | 0.42 | 55.0 |
| 4 | 0.58 | 60.6 |
| 5 | 3.49 | 77.4 |
| 6 | 1.95 | 59.3 |